AlOsW2: optimized geometry, PBE-GGA.

abc: 2.832 2.832 7.598
angles: 90.00 90.00 90.00
Fractional positions:
Al (0.000, 0.000, 0.000)
Os (0.500, 0.500, 0.222)
W (0.000, 0.000, 0.459)
W (0.500, 0.500, 0.744)

Computed properties:
space-group type = P4mm (99)
formation energy from the elements = -3.7 kJ/mol of atoms